Entry from the Alexandria database: CdIn2Sb after structural relaxation (PBE).

Summary:
Theoretical density ... 7212 kg/m3
Energy relative to the lowest polymorph listed for this composition ... 28 meV per atom
ΔE_f (raw) ... 0.0646 eV/atom

The structure in POSCAR format:
```
CdIn2Sb
1.0
3.372 0.000 0.000
0.000 3.372 0.000
0.000 0.000 9.391
Cd In Sb
1 2 1
Cartesian
0.000 0.000 0.000
1.686 1.686 2.281
1.686 1.686 7.110
0.000 0.000 4.696
```

=====

Entry from the Alexandria database: FeCuSi2 after structural relaxation (PBE).

Summary:
Theoretical density ... 6268 kg/m3
ΔE_f (raw) ... -0.0541 eV/atom

The structure in POSCAR format:
```
FeCuSi2
1.0
2.709 0.000 0.000
0.000 3.297 0.000
-0.024 0.000 5.207
Fe Cu Si
1 1 2
Cartesian
0.000 0.000 0.000
-0.012 0.000 2.604
1.350 1.649 1.236
1.335 1.649 3.971
```

=====

Entry from the Alexandria database: PmDy5Th4 after structural relaxation (PBE).

Summary:
Theoretical density ... 9805 kg/m3
E_tot ... -57.119 eV/f.u.

The structure in POSCAR format:
```
PmDy5Th4
1.0
7.725 -1.790 0.000
7.725 1.790 0.000
-2.555 0.000 11.545
Pm Dy Th
1 5 4
Cartesian
0.000 0.000 0.000
0.792 0.000 3.509
2.270 0.000 10.372
6.448 0.000 5.773
10.625 0.000 1.174
12.103 0.000 8.036
1.555 0.000 6.935
5.658 0.000 2.345
7.237 0.000 9.201
11.340 0.000 4.611
```

=====

Entry from the Alexandria database: La4GeBiI2 after structural relaxation (PBE).

Summary:
Theoretical density ... 6477 kg/m3
ΔE_f (raw) ... -1.0826 eV/atom

The structure in POSCAR format:
```
La4GeBiI2
1.0
7.992 0.000 0.000
0.000 4.568 0.000
-2.641 0.000 7.663
La Ge Bi I
4 1 1 2
Cartesian
1.115 0.000 1.655
-0.241 2.284 5.868
5.592 2.284 1.795
4.236 0.000 6.008
0.000 2.284 0.000
-1.321 0.000 3.831
3.996 0.000 0.000
2.676 2.284 3.831
```

=====

Entry from the Alexandria database: KAgSe2N after structural relaxation (PBE).

Summary:
Theoretical density ... 2994 kg/m3
Energy relative to the lowest polymorph listed for this composition ... 902 meV per atom
ΔE_f (raw) ... 1.5297 eV/atom

The structure in POSCAR format:
```
KAgSe2N
1.0
5.957 0.000 0.000
0.000 5.957 0.000
0.000 0.000 4.985
K Ag Se N
1 1 2 1
Cartesian
0.000 0.000 0.000
2.978 2.978 2.492
0.000 2.978 0.000
2.978 0.000 0.000
0.000 0.000 2.492
```

=====

Entry from the Alexandria database: La6YCd5 after structural relaxation (PBE).

Summary:
Theoretical density ... 6602 kg/m3
E_tot ... -43.498 eV/f.u.

The structure in POSCAR format:
```
La6YCd5
1.0
5.573 0.000 0.000
0.000 7.891 0.000
-2.786 0.000 8.489
La Y Cd
6 1 5
Cartesian
0.000 1.820 0.000
0.000 6.072 0.000
0.007 1.976 5.562
0.007 5.916 5.562
2.779 1.976 2.927
2.779 5.916 2.927
2.786 3.946 0.000
-0.008 3.946 2.598
-0.012 0.000 2.835
2.786 0.000 0.000
2.799 0.000 5.655
2.795 3.946 5.891
```

=====

Entry from the Alexandria database: TePbI after structural relaxation (PBE).

Summary:
Theoretical density ... 6634 kg/m3
Energy relative to the lowest polymorph listed for this composition ... 120 meV per atom
ΔE_f (raw) ... -0.2249 eV/atom

The structure in POSCAR format:
```
TePbI
1.0
4.416 0.000 0.000
-2.208 3.824 0.000
0.000 0.000 6.844
Te Pb I
1 1 1
Cartesian
0.000 0.000 0.000
0.000 2.549 1.699
2.208 1.275 3.897
```

=====

Entry from the Alexandria database: Ce2PuTe5 after structural relaxation (PBE).

Summary:
Theoretical density ... 6358 kg/m3
ΔE_f (raw) ... -0.5490 eV/atom

The structure in POSCAR format:
```
Ce2PuTe5
1.0
7.501 0.000 0.000
0.000 7.501 0.000
0.000 0.000 5.395
Ce Pu Te
2 1 5
Cartesian
0.000 3.751 0.000
3.751 0.000 0.000
0.000 0.000 2.697
0.000 0.000 0.000
2.081 2.081 2.697
2.081 5.420 2.697
5.420 2.081 2.697
5.420 5.420 2.697
```

=====

Entry from the Alexandria database: Pm4Nd3Dy2 after structural relaxation (PBE).

Summary:
Theoretical density ... 7262 kg/m3
Energy relative to the lowest polymorph listed for this composition ... 0 meV per atom

The structure in POSCAR format:
```
Pm4Nd3Dy2
1.0
6.028 -1.820 0.000
6.028 1.820 0.000
-5.480 0.000 13.940
Pm Nd Dy
4 3 2
Cartesian
1.114 0.000 2.348
0.010 0.000 8.523
6.566 0.000 5.417
5.463 0.000 11.592
4.390 0.000 0.795
3.288 0.000 6.970
2.187 0.000 13.145
-3.293 0.000 10.058
9.869 0.000 3.881
```

=====

Entry from the Alexandria database: ErLuIn after structural relaxation (PBE).

Summary:
Theoretical density ... 9255 kg/m3
Energy relative to the lowest polymorph listed for this composition ... 0 meV per atom

The structure in POSCAR format:
```
ErLuIn
1.0
-1.739 1.739 6.779
1.739 -1.739 6.779
1.739 1.739 -6.779
Er Lu In
1 1 1
Cartesian
0.000 0.000 0.000
0.000 0.000 4.292
0.000 0.000 8.945
```

=====

Entry from the Alexandria database: Cs2InO2 after structural relaxation (PBE).

Summary:
Theoretical density ... 4557 kg/m3
ΔE_f (raw) ... -1.1215 eV/atom

The structure in POSCAR format:
```
Cs2InO2
1.0
10.131 0.000 0.000
0.000 8.423 0.000
-2.746 0.000 7.049
Cs In O
8 4 8
Cartesian
0.118 2.065 0.208
-1.255 2.146 3.732
2.255 5.338 3.336
0.881 7.296 6.861
6.503 1.127 0.188
5.130 3.085 3.713
8.640 6.277 3.317
7.266 6.357 6.841
2.293 0.584 3.035
0.920 3.628 6.560
6.464 4.795 0.489
5.091 7.839 4.014
-0.558 4.693 5.527
0.815 7.941 2.003
4.436 4.667 1.222
3.062 7.967 4.746
4.322 0.456 2.303
2.949 3.755 5.827
6.570 0.482 5.046
7.943 3.730 1.522
```

=====

Entry from the Alexandria database: MgSi2TeOs after structural relaxation (PBE).

Summary:
Theoretical density ... 5058 kg/m3
ΔE_f (raw) ... 1.5872 eV/atom

The structure in POSCAR format:
```
MgSi2TeOs
1.0
5.179 0.000 0.000
0.000 5.179 0.000
0.000 0.000 4.875
Mg Si Te Os
1 2 1 1
Cartesian
0.000 0.000 0.000
0.000 2.590 2.438
2.590 0.000 2.438
2.590 2.590 2.438
2.590 2.590 0.000
```

=====

Entry from the Alexandria database: PmSm2Y3As6 after structural relaxation (PBE).

Summary:
Theoretical density ... 6255 kg/m3
E_tot ... -79.964 eV/f.u.

The structure in POSCAR format:
```
PmSm2Y3As6
1.0
3.616 -6.261 0.000
3.616 6.261 0.000
-2.407 0.000 6.813
Pm Sm Y As
1 2 3 6
Cartesian
0.000 0.000 0.000
3.616 2.087 0.000
3.616 -2.087 0.000
2.412 4.177 3.406
2.412 0.000 3.406
2.412 -4.177 3.406
1.209 2.092 1.742
0.008 0.000 5.071
1.209 -2.092 1.742
3.615 2.092 5.071
4.816 0.000 1.742
3.615 -2.092 5.071
```

=====

Entry from the Alexandria database: CrSb2W after structural relaxation (PBE).

Summary:
Theoretical density ... 10741 kg/m3
Energy relative to the lowest polymorph listed for this composition ... 261 meV per atom
ΔE_f (raw) ... 0.4879 eV/atom

The structure in POSCAR format:
```
CrSb2W
1.0
0.000 3.334 3.334
3.334 0.000 3.334
3.334 3.334 0.000
Cr Sb W
1 2 1
Cartesian
0.000 0.000 0.000
1.667 1.667 1.667
5.001 5.001 5.001
3.334 3.334 3.334
```

=====

Entry from the Alexandria database: Sr2TlZn2Pt5 after structural relaxation (PBE).

Summary:
Theoretical density ... 12713 kg/m3
E_tot ... -44.169 eV/f.u.

The structure in POSCAR format:
```
Sr2TlZn2Pt5
1.0
9.978 0.000 0.000
0.000 9.978 0.000
0.000 0.000 3.899
Sr Tl Zn Pt
4 2 4 10
Cartesian
1.783 3.206 0.000
3.206 8.194 0.000
6.772 1.783 0.000
8.194 6.772 0.000
0.000 0.000 0.000
4.989 4.989 0.000
1.188 6.177 0.000
3.800 1.188 0.000
6.177 8.789 0.000
8.789 3.800 0.000
0.000 4.989 1.949
0.643 7.839 1.949
2.138 0.643 1.949
2.850 5.632 1.949
4.346 2.850 1.949
4.989 0.000 1.949
5.632 7.127 1.949
7.127 4.346 1.949
7.839 9.335 1.949
9.335 2.138 1.949
```

=====

Entry from the Alexandria database: Ac2Pm2Dy15 after structural relaxation (PBE).

Summary:
Theoretical density ... 8050 kg/m3
E_tot ... -81.423 eV/f.u.

The structure in POSCAR format:
```
Ac2Pm2Dy15
1.0
5.699 3.290 5.834
-5.699 3.290 5.834
0.000 -6.580 5.834
Ac Pm Dy
2 2 15
Cartesian
0.000 0.000 2.017
0.000 0.000 15.486
0.000 0.000 5.877
0.000 0.000 11.626
-5.698 0.000 8.752
-1.751 -3.548 5.834
-2.849 1.645 2.917
-3.948 0.258 5.834
-2.709 -1.564 8.287
1.751 -3.548 5.834
-2.197 3.290 5.834
0.000 -3.128 9.217
-2.709 1.564 9.217
2.849 1.645 2.917
2.709 -1.564 8.287
0.000 3.128 8.287
3.948 0.258 5.834
2.197 3.290 5.834
2.709 1.564 9.217
```

=====

Entry from the Alexandria database: LuHfThZr after structural relaxation (PBE).

Summary:
Theoretical density ... 10796 kg/m3
E_tot ... -29.740 eV/f.u.

The structure in POSCAR format:
```
LuHfThZr
1.0
0.000 3.734 3.734
3.734 0.000 3.734
3.734 3.734 0.000
Lu Hf Th Zr
1 1 1 1
Cartesian
0.000 0.000 0.000
3.734 3.734 3.734
5.600 5.600 5.600
1.867 1.867 1.867
```

=====

Entry from the Alexandria database: YPuPt after structural relaxation (PBE).

Summary:
Theoretical density ... 11176 kg/m3
Energy relative to the lowest polymorph listed for this composition ... 0 meV per atom

The structure in POSCAR format:
```
YPuPt
1.0
1.895 -6.187 0.000
1.895 6.187 0.000
0.000 0.000 6.692
Y Pu Pt
2 2 2
Cartesian
0.000 0.000 0.000
0.000 0.000 3.346
1.895 2.605 5.019
1.895 -2.605 1.673
1.895 1.464 1.673
1.895 -1.464 5.019
```

=====

Entry from the Alexandria database: Ac2YGePd6 after structural relaxation (PBE).

Summary:
Theoretical density ... 8949 kg/m3
E_tot ... -56.831 eV/f.u.

The structure in POSCAR format:
```
Ac2YGePd6
1.0
5.833 0.000 0.000
2.907 5.933 0.000
2.915 0.145 6.724
Ac Y Ge Pd
2 1 1 6
Cartesian
2.910 1.753 1.595
8.746 4.325 5.129
0.000 0.000 0.000
5.828 3.039 3.362
5.850 5.458 3.990
4.422 4.424 1.754
4.448 1.666 5.002
7.207 4.413 1.722
7.234 1.654 4.970
5.806 0.620 2.734
```

=====

Entry from the Alexandria database: SrSm2Se4 after structural relaxation (PBE).

Summary:
Theoretical density ... 6416 kg/m3
Energy relative to the lowest polymorph listed for this composition ... 12 meV per atom
ΔE_f (raw) ... -1.9287 eV/atom

The structure in POSCAR format:
```
SrSm2Se4
1.0
-4.502 4.502 4.495
4.502 -4.502 4.495
4.502 4.502 -4.495
Sr Sm Se
2 4 8
Cartesian
0.000 0.000 0.000
0.000 4.502 2.248
2.251 3.377 -1.124
5.627 2.251 1.124
2.251 1.125 3.371
-1.125 2.251 5.619
2.945 0.678 0.538
5.181 2.945 -1.709
3.824 -1.557 3.957
-0.678 1.557 2.786
0.678 6.060 -0.538
2.945 3.824 1.709
1.557 0.678 6.205
1.557 3.824 5.034
```

=====

Entry from the Alexandria database: SrOs2Pt after structural relaxation (PBE).

Summary:
Theoretical density ... 15264 kg/m3
Energy relative to the lowest polymorph listed for this composition ... 523 meV per atom

The structure in POSCAR format:
```
SrOs2Pt
1.0
3.965 0.000 0.000
0.000 3.965 0.000
0.000 0.000 4.588
Sr Os Pt
1 2 1
Cartesian
0.000 0.000 0.000
0.000 1.983 2.294
1.983 0.000 2.294
1.983 1.983 0.000
```

=====

Entry from the Alexandria database: BaLi5Cd2 after structural relaxation (PBE).

Summary:
Theoretical density ... 3118 kg/m3
E_tot ... -14.197 eV/f.u.

The structure in POSCAR format:
```
BaLi5Cd2
1.0
-2.260 4.258 5.492
2.260 -4.258 5.492
2.260 4.258 -5.492
Ba Li Cd
1 5 2
Cartesian
0.000 0.000 0.000
2.260 2.720 -1.738
2.260 2.720 1.738
0.000 4.258 0.000
0.000 1.537 3.753
0.000 1.537 7.230
2.260 0.000 2.740
0.000 4.258 2.751
```

=====

Entry from the Alexandria database: Sm3Y5Tm2 after structural relaxation (PBE).

Summary:
Theoretical density ... 5940 kg/m3
Energy relative to the lowest polymorph listed for this composition ... 163 meV per atom

The structure in POSCAR format:
```
Sm3Y5Tm2
1.0
-6.463 8.476 3.147
6.463 -8.476 3.147
6.463 8.476 -3.147
Sm Y Tm
6 10 4
Cartesian
2.067 4.208 0.000
0.000 0.000 1.573
8.531 4.269 0.000
-2.067 4.208 3.147
0.000 0.000 4.720
4.396 4.269 3.147
5.200 2.670 0.000
9.692 0.000 1.573
3.234 0.000 1.573
6.463 0.000 1.573
5.200 -2.670 3.147
1.263 11.146 0.000
-3.229 8.476 1.573
0.000 8.476 1.573
3.229 8.476 1.573
1.263 5.807 3.147
5.185 -5.835 3.147
5.185 5.835 0.000
1.278 2.641 3.147
1.278 14.312 0.000
```